(1)
# Cs2AuCl | the Alexandria database | SCAN | PBEsol geometry
data_Cs2AuCl
_chemical_formula_sum 'Cs8 Au4 Cl4'
_space_group_name_H-M_alt 'P 1'
_space_group_IT_number 1
_space_group_name_Hall 'P 1'
_cell_length_a 8.252
_cell_length_b 8.252
_cell_length_c 8.252
_cell_angle_alpha 90.00
_cell_angle_beta 90.00
_cell_angle_gamma 90.00
loop_
_atom_site_label
_atom_site_type_symbol
_atom_site_fract_x
_atom_site_fract_y
_atom_site_fract_z
_atom_site_occupancy
Cs1 Cs 0.250 0.250 0.250 1
Cs2 Cs 0.250 0.250 0.750 1
Cs3 Cs 0.250 0.750 0.250 1
Cs4 Cs 0.250 0.750 0.750 1
Cs5 Cs 0.750 0.250 0.250 1
Cs6 Cs 0.750 0.250 0.750 1
Cs7 Cs 0.750 0.750 0.250 1
Cs8 Cs 0.750 0.750 0.750 1
Au1 Au 0.000 0.000 0.000 1
Au2 Au 0.000 0.500 0.500 1
Au3 Au 0.500 0.000 0.500 1
Au4 Au 0.500 0.500 0.000 1
Cl1 Cl 0.000 0.000 0.500 1
Cl2 Cl 0.000 0.500 0.000 1
Cl3 Cl 0.500 0.000 0.000 1
Cl4 Cl 0.500 0.500 0.500 1
# - Crystal system: cubic
# - Density: 5.9 g/cm3
# - Size of the total moment: 0.0 μB/f.u.
# - Uncorrected formation energy: -1.291 eV per atom
# - Space group: No. 225
# - DOS(E_F): 0.000 states/eV/atom

---

(2)
# CsAuCl4 | the Alexandria database | SCAN | PBEsol geometry
data_CsAuCl4
_chemical_formula_sum 'Cs2 Au2 Cl8'
_space_group_name_H-M_alt 'P 1'
_space_group_IT_number 1
_space_group_name_Hall 'P 1'
_cell_length_a 7.029
_cell_length_b 7.029
_cell_length_c 9.898
_cell_angle_alpha 101.60
_cell_angle_beta 101.60
_cell_angle_gamma 51.84
loop_
_atom_site_label
_atom_site_type_symbol
_atom_site_fract_x
_atom_site_fract_y
_atom_site_fract_z
_atom_site_occupancy
Cs1 Cs 0.227 0.773 0.750 1
Cs2 Cs 0.773 0.227 0.250 1
Au1 Au 0.000 0.500 0.000 1
Au2 Au 0.500 0.000 0.500 1
Cl1 Cl 0.199 0.259 0.645 1
Cl2 Cl 0.206 0.662 0.075 1
Cl3 Cl 0.259 0.199 0.145 1
Cl4 Cl 0.338 0.794 0.425 1
Cl5 Cl 0.662 0.206 0.575 1
Cl6 Cl 0.741 0.801 0.855 1
Cl7 Cl 0.794 0.338 0.925 1
Cl8 Cl 0.801 0.741 0.355 1
# - Crystal system: monoclinic
# - Density: 4.2 g/cm3
# - Size of the total moment: 0.0 μB/f.u.
# - Uncorrected formation energy: -1.106 eV per atom
# - Space group: No. 15
# - DOS(E_F): 0.000 states/eV/atom

---

(3)
# CsAu2Cl | the Alexandria database | SCAN | PBEsol geometry
data_CsAu2Cl
_chemical_formula_sum 'Cs4 Au8 Cl4'
_space_group_name_H-M_alt 'P 1'
_space_group_IT_number 1
_space_group_name_Hall 'P 1'
_cell_length_a 7.464
_cell_length_b 7.464
_cell_length_c 7.464
_cell_angle_alpha 90.00
_cell_angle_beta 90.00
_cell_angle_gamma 90.00
loop_
_atom_site_label
_atom_site_type_symbol
_atom_site_fract_x
_atom_site_fract_y
_atom_site_fract_z
_atom_site_occupancy
Cs1 Cs 0.000 0.000 0.000 1
Cs2 Cs 0.000 0.500 0.500 1
Cs3 Cs 0.500 0.000 0.500 1
Cs4 Cs 0.500 0.500 0.000 1
Au1 Au 0.250 0.250 0.250 1
Au2 Au 0.250 0.250 0.750 1
Au3 Au 0.250 0.750 0.250 1
Au4 Au 0.250 0.750 0.750 1
Au5 Au 0.750 0.250 0.250 1
Au6 Au 0.750 0.250 0.750 1
Au7 Au 0.750 0.750 0.250 1
Au8 Au 0.750 0.750 0.750 1
Cl1 Cl 0.000 0.000 0.500 1
Cl2 Cl 0.000 0.500 0.000 1
Cl3 Cl 0.500 0.000 0.000 1
Cl4 Cl 0.500 0.500 0.500 1
# - Crystal system: cubic
# - Density: 9.0 g/cm3
# - Size of the total moment: 0.0 μB/f.u.
# - Uncorrected formation energy: 0.318 eV per atom
# - Space group: No. 225
# - DOS(E_F): 1.304 states/eV/atom

---

(4)
# CsAuCl2 | the Alexandria database | SCAN | PBEsol geometry
data_CsAuCl2
_chemical_formula_sum 'Cs4 Au4 Cl8'
_space_group_name_H-M_alt 'P 1'
_space_group_IT_number 1
_space_group_name_Hall 'P 1'
_cell_length_a 7.423
_cell_length_b 7.423
_cell_length_c 7.423
_cell_angle_alpha 90.00
_cell_angle_beta 90.00
_cell_angle_gamma 90.00
loop_
_atom_site_label
_atom_site_type_symbol
_atom_site_fract_x
_atom_site_fract_y
_atom_site_fract_z
_atom_site_occupancy
Cs1 Cs 0.000 0.000 0.000 1
Cs2 Cs 0.000 0.500 0.500 1
Cs3 Cs 0.500 0.000 0.500 1
Cs4 Cs 0.500 0.500 0.000 1
Au1 Au 0.000 0.000 0.500 1
Au2 Au 0.000 0.500 0.000 1
Au3 Au 0.500 0.000 0.000 1
Au4 Au 0.500 0.500 0.500 1
Cl1 Cl 0.250 0.250 0.250 1
Cl2 Cl 0.250 0.250 0.750 1
Cl3 Cl 0.250 0.750 0.250 1
Cl4 Cl 0.250 0.750 0.750 1
Cl5 Cl 0.750 0.250 0.250 1
Cl6 Cl 0.750 0.250 0.750 1
Cl7 Cl 0.750 0.750 0.250 1
Cl8 Cl 0.750 0.750 0.750 1
# - Crystal system: cubic
# - Density: 6.5 g/cm3
# - Size of the total moment: 0.0 μB/f.u.
# - Uncorrected formation energy: -0.679 eV per atom
# - Space group: No. 225

---

(5)
# Cs2DyAuCl6 | the Alexandria database | SCAN | PBEsol geometry
data_Cs2DyAuCl6
_chemical_formula_sum 'Cs2 Dy1 Au1 Cl6'
_space_group_name_H-M_alt 'P 1'
_space_group_IT_number 1
_space_group_name_Hall 'P 1'
_cell_length_a 7.476
_cell_length_b 7.476
_cell_length_c 7.476
_cell_angle_alpha 60.00
_cell_angle_beta 60.00
_cell_angle_gamma 60.00
loop_
_atom_site_label
_atom_site_type_symbol
_atom_site_fract_x
_atom_site_fract_y
_atom_site_fract_z
_atom_site_occupancy
Cs1 Cs 0.250 0.250 0.250 1
Cs2 Cs 0.750 0.750 0.750 1
Dy1 Dy 0.000 0.000 0.000 1
Au1 Au 0.500 0.500 0.500 1
Cl1 Cl 0.246 0.246 0.754 1
Cl2 Cl 0.246 0.754 0.246 1
Cl3 Cl 0.246 0.754 0.754 1
Cl4 Cl 0.754 0.246 0.246 1
Cl5 Cl 0.754 0.246 0.754 1
Cl6 Cl 0.754 0.754 0.246 1
# - Crystal system: cubic
# - Density: 4.7 g/cm3
# - Size of the total moment: 0.0 μB/f.u.
# - Uncorrected formation energy: -1.920 eV per atom
# - Space group: No. 225
# - DOS(E_F): 0.000 states/eV/atom

---

(6)
# Cs2ErAuCl6 | the Alexandria database | SCAN | PBEsol geometry
data_Cs2ErAuCl6
_chemical_formula_sum 'Cs2 Er1 Au1 Cl6'
_space_group_name_H-M_alt 'P 1'
_space_group_IT_number 1
_space_group_name_Hall 'P 1'
_cell_length_a 7.447
_cell_length_b 7.447
_cell_length_c 7.447
_cell_angle_alpha 60.00
_cell_angle_beta 60.00
_cell_angle_gamma 60.00
loop_
_atom_site_label
_atom_site_type_symbol
_atom_site_fract_x
_atom_site_fract_y
_atom_site_fract_z
_atom_site_occupancy
Cs1 Cs 0.250 0.250 0.250 1
Cs2 Cs 0.750 0.750 0.750 1
Er1 Er 0.000 0.000 0.000 1
Au1 Au 0.500 0.500 0.500 1
Cl1 Cl 0.245 0.245 0.755 1
Cl2 Cl 0.245 0.755 0.245 1
Cl3 Cl 0.245 0.755 0.755 1
Cl4 Cl 0.755 0.245 0.245 1
Cl5 Cl 0.755 0.245 0.755 1
Cl6 Cl 0.755 0.755 0.245 1
# - Crystal system: cubic
# - Density: 4.8 g/cm3
# - Size of the total moment: 0.0 μB/f.u.
# - Uncorrected formation energy: -1.923 eV per atom
# - Space group: No. 225
# - DOS(E_F): 0.000 states/eV/atom

---

(7)
# Cs2SbAuCl6 | the Alexandria database | SCAN | PBEsol geometry
data_Cs2SbAuCl6
_chemical_formula_sum 'Cs2 Sb1 Au1 Cl6'
_space_group_name_H-M_alt 'P 1'
_space_group_IT_number 1
_space_group_name_Hall 'P 1'
_cell_length_a 7.460
_cell_length_b 7.460
_cell_length_c 7.460
_cell_angle_alpha 60.00
_cell_angle_beta 60.00
_cell_angle_gamma 60.00
loop_
_atom_site_label
_atom_site_type_symbol
_atom_site_fract_x
_atom_site_fract_y
_atom_site_fract_z
_atom_site_occupancy
Cs1 Cs 0.250 0.250 0.250 1
Cs2 Cs 0.750 0.750 0.750 1
Sb1 Sb 0.000 0.000 0.000 1
Au1 Au 0.500 0.500 0.500 1
Cl1 Cl 0.250 0.250 0.750 1
Cl2 Cl 0.250 0.750 0.250 1
Cl3 Cl 0.250 0.750 0.750 1
Cl4 Cl 0.750 0.250 0.250 1
Cl5 Cl 0.750 0.250 0.750 1
Cl6 Cl 0.750 0.750 0.250 1
# - Crystal system: cubic
# - Density: 4.5 g/cm3
# - Size of the total moment: 0.0 μB/f.u.
# - Uncorrected formation energy: -1.300 eV per atom
# - Space group: No. 225
# - DOS(E_F): 0.015 states/eV/atom

---

(8)
# Cs2TlAuCl6 | the Alexandria database | SCAN | PBEsol geometry
data_Cs2TlAuCl6
_chemical_formula_sum 'Cs2 Tl1 Au1 Cl6'
_space_group_name_H-M_alt 'P 1'
_space_group_IT_number 1
_space_group_name_Hall 'P 1'
_cell_length_a 7.427
_cell_length_b 7.427
_cell_length_c 7.427
_cell_angle_alpha 60.00
_cell_angle_beta 60.00
_cell_angle_gamma 60.00
loop_
_atom_site_label
_atom_site_type_symbol
_atom_site_fract_x
_atom_site_fract_y
_atom_site_fract_z
_atom_site_occupancy
Cs1 Cs 0.250 0.250 0.250 1
Cs2 Cs 0.750 0.750 0.750 1
Tl1 Tl 0.000 0.000 0.000 1
Au1 Au 0.500 0.500 0.500 1
Cl1 Cl 0.258 0.258 0.742 1
Cl2 Cl 0.258 0.742 0.258 1
Cl3 Cl 0.258 0.742 0.742 1
Cl4 Cl 0.742 0.258 0.258 1
Cl5 Cl 0.742 0.258 0.742 1
Cl6 Cl 0.742 0.742 0.258 1
# - Crystal system: cubic
# - Density: 5.0 g/cm3
# - Size of the total moment: 0.0 μB/f.u.
# - Uncorrected formation energy: -1.280 eV per atom
# - Space group: No. 225
# - DOS(E_F): 0.297 states/eV/atom

---

(9)
# CuGeAuCl2 | the Alexandria database | SCAN | PBEsol geometry
data_CuGeAuCl2
_chemical_formula_sum 'Cu1 Ge1 Au1 Cl2'
_space_group_name_H-M_alt 'P 1'
_space_group_IT_number 1
_space_group_name_Hall 'P 1'
_cell_length_a 4.904
_cell_length_b 4.904
_cell_length_c 5.024
_cell_angle_alpha 90.00
_cell_angle_beta 90.00
_cell_angle_gamma 90.00
loop_
_atom_site_label
_atom_site_type_symbol
_atom_site_fract_x
_atom_site_fract_y
_atom_site_fract_z
_atom_site_occupancy
Cu1 Cu 0.000 0.000 0.000 1
Ge1 Ge 0.500 0.500 0.000 1
Au1 Au 0.500 0.500 0.500 1
Cl1 Cl 0.000 0.500 0.500 1
Cl2 Cl 0.500 0.000 0.500 1
# - Crystal system: tetragonal
# - Density: 5.6 g/cm3
# - Size of the total moment: 0.0 μB/f.u.
# - Uncorrected formation energy: 0.602 eV per atom
# - Space group: No. 123
# - DOS(E_F): 0.644 states/eV/atom

---

(10)
# K2EuAuCl6 | the Alexandria database | SCAN | PBEsol geometry
data_K2EuAuCl6
_chemical_formula_sum 'K2 Eu1 Au1 Cl6'
_space_group_name_H-M_alt 'P 1'
_space_group_IT_number 1
_space_group_name_Hall 'P 1'
_cell_length_a 7.455
_cell_length_b 7.455
_cell_length_c 7.455
_cell_angle_alpha 60.00
_cell_angle_beta 60.00
_cell_angle_gamma 60.00
loop_
_atom_site_label
_atom_site_type_symbol
_atom_site_fract_x
_atom_site_fract_y
_atom_site_fract_z
_atom_site_occupancy
K1 K 0.250 0.250 0.250 1
K2 K 0.750 0.750 0.750 1
Eu1 Eu 0.000 0.000 0.000 1
Au1 Au 0.500 0.500 0.500 1
Cl1 Cl 0.254 0.254 0.746 1
Cl2 Cl 0.254 0.746 0.254 1
Cl3 Cl 0.254 0.746 0.746 1
Cl4 Cl 0.746 0.254 0.254 1
Cl5 Cl 0.746 0.254 0.746 1
Cl6 Cl 0.746 0.746 0.254 1
# - Crystal system: cubic
# - Density: 3.6 g/cm3
# - Size of the total moment: 6.0 μB/f.u.
# - Uncorrected formation energy: -1.685 eV per atom
# - Space group: No. 225
# - DOS(E_F): 0.551 states/eV/atom

---

(11)
# Rb2EuAuCl6 | the Alexandria database | SCAN | PBEsol geometry
data_Rb2EuAuCl6
_chemical_formula_sum 'Rb2 Eu1 Au1 Cl6'
_space_group_name_H-M_alt 'P 1'
_space_group_IT_number 1
_space_group_name_Hall 'P 1'
_cell_length_a 7.476
_cell_length_b 7.476
_cell_length_c 7.476
_cell_angle_alpha 60.00
_cell_angle_beta 60.00
_cell_angle_gamma 60.00
loop_
_atom_site_label
_atom_site_type_symbol
_atom_site_fract_x
_atom_site_fract_y
_atom_site_fract_z
_atom_site_occupancy
Rb1 Rb 0.250 0.250 0.250 1
Rb2 Rb 0.750 0.750 0.750 1
Eu1 Eu 0.000 0.000 0.000 1
Au1 Au 0.500 0.500 0.500 1
Cl1 Cl 0.254 0.254 0.746 1
Cl2 Cl 0.254 0.746 0.254 1
Cl3 Cl 0.254 0.746 0.746 1
Cl4 Cl 0.746 0.254 0.254 1
Cl5 Cl 0.746 0.254 0.746 1
Cl6 Cl 0.746 0.746 0.254 1
# - Crystal system: cubic
# - Density: 4.1 g/cm3
# - Size of the total moment: 6.0 μB/f.u.
# - Uncorrected formation energy: -1.734 eV per atom
# - Space group: No. 225
# - DOS(E_F): 0.602 states/eV/atom

---

(12)
# HgAuClF2 | the Alexandria database | SCAN | PBEsol geometry
data_HgAuClF2
_chemical_formula_sum 'Hg1 Au1 Cl1 F2'
_space_group_name_H-M_alt 'P 1'
_space_group_IT_number 1
_space_group_name_Hall 'P 1'
_cell_length_a 4.220
_cell_length_b 4.220
_cell_length_c 5.719
_cell_angle_alpha 90.00
_cell_angle_beta 90.00
_cell_angle_gamma 90.00
loop_
_atom_site_label
_atom_site_type_symbol
_atom_site_fract_x
_atom_site_fract_y
_atom_site_fract_z
_atom_site_occupancy
Hg1 Hg 0.000 0.000 0.000 1
Au1 Au 0.500 0.500 0.500 1
Cl1 Cl 0.000 0.000 0.500 1
F1 F 0.000 0.500 0.000 1
F2 F 0.500 0.000 0.000 1
# - Crystal system: tetragonal
# - Density: 7.7 g/cm3
# - Size of the total moment: 0.0 μB/f.u.
# - Uncorrected formation energy: -0.515 eV per atom
# - Space group: No. 123
# - DOS(E_F): 0.130 states/eV/atom

---

The E_tot results, record by record, are as follows: -157.92; -145.51; -182.83; -125.64; -259.64; -262.22; -242.90; -277.80; -116.39; -204.24; -229.56; -154.96 eV per formula unit.